BaFe2PN, relaxed, DFT GGA-PBE; total magnetization = 0.0 μB per cell; SG = Cmcm, No. 63; formation energy from raw total energies = -0.3220 eV/atom; energy = -6.839 eV/atom
1.0
2.065 -5.343 0.000
2.065 5.343 0.000
0.000 0.000 6.769
Ba Fe P N
2 4 2 2
Direct
0.053 0.947 0.750
0.947 0.053 0.250
0.338 0.662 0.557
0.338 0.662 0.943
0.662 0.338 0.057
0.662 0.338 0.443
0.229 0.771 0.250
0.771 0.229 0.750
0.500 0.500 0.000
0.500 0.500 0.500

In2GaO, relaxed, DFT GGA-PBE; total magnetization = 0.0 μB per cell; SG = I-42d, No. 122; relative energy among the computed polymorphs = 0 meV/atom; formation energy from raw total energies = -0.4023 eV/atom; energy = -3.768 eV/atom
1.0
-2.861 2.861 5.729
2.861 -2.861 5.729
2.861 2.861 -5.729
In Ga O
4 2 2
Direct
0.057 0.625 0.932
0.375 0.307 0.432
0.693 0.125 0.068
0.875 0.943 0.568
0.250 0.750 0.500
0.500 0.500 0.000
0.000 0.000 0.000
0.750 0.250 0.500

TaZnRe2, relaxed, DFT GGA-PBE; total magnetization = 0.0 μB per cell; formation energy = 0.29 eV/atom; SG = P4/mmm, No. 123; energy = -9.218 eV/atom
1.0
2.723 0.000 0.000
0.000 2.723 0.000
0.000 0.000 8.442
Ta Zn Re
1 1 2
Direct
0.000 0.000 0.000
0.000 0.000 0.500
0.500 0.500 0.262
0.500 0.500 0.738

V6Re2Mo, relaxed, DFT GGA-PBE; total magnetization = 0.0 μB per cell; formation energy = 0.17 eV/atom; SG = C2/m, No. 12; relative energy among the computed polymorphs = 385 meV/atom; energy = -9.879 eV/atom
1.0
4.328 -2.464 0.000
4.328 2.464 0.000
-2.155 0.000 6.099
V Re Mo
6 2 1
Direct
0.192 0.705 0.797
0.256 0.256 0.033
0.295 0.808 0.203
0.705 0.192 0.797
0.744 0.744 0.967
0.808 0.295 0.203
0.177 0.177 0.616
0.823 0.823 0.384
0.500 0.500 0.500

Sm8Dy3Th2, relaxed, DFT GGA-PBE; total magnetization = 0.0 μB per cell; formation energy = 0.15 eV/atom; SG = P-1, No. 2; energy = -4.955 eV/atom
1.0
6.537 0.000 0.000
2.673 8.230 0.000
3.264 2.455 16.343
Sm Dy Th
16 6 4
Direct
0.030 0.450 0.299
0.067 0.838 0.938
0.106 0.270 0.559
0.255 0.726 0.128
0.313 0.094 0.791
0.343 0.325 0.103
0.403 0.030 0.399
0.423 0.665 0.320
0.577 0.335 0.680
0.597 0.970 0.601
0.657 0.675 0.897
0.687 0.906 0.209
0.745 0.274 0.872
0.894 0.730 0.441
0.933 0.162 0.062
0.970 0.550 0.701
0.107 0.038 0.253
0.373 0.685 0.751
0.500 0.000 0.000
0.500 0.500 0.500
0.627 0.315 0.249
0.893 0.962 0.747
0.162 0.844 0.564
0.180 0.424 0.913
0.820 0.576 0.087
0.838 0.156 0.436

LaHgAu2, relaxed, DFT GGA-PBE; total magnetization = 0.0 μB per cell; formation energy = -0.52 eV/atom; SG = Pmmm, No. 47; energy = -3.462 eV/atom
1.0
3.764 0.000 0.000
0.000 3.803 0.000
0.000 0.000 6.784
La Hg Au
1 1 2
Direct
0.000 0.000 0.000
0.000 0.000 0.500
0.500 0.500 0.261
0.500 0.500 0.739

V4SnTe8, relaxed, DFT GGA-PBE; total magnetization = 4.3 μB per cell; SG = F-43m, No. 216; formation energy from raw total energies = -0.2851 eV/atom; energy = -5.332 eV/atom
1.0
0.000 5.590 5.590
5.590 0.000 5.590
5.590 5.590 0.000
V Sn Te
4 1 8
Direct
0.399 0.399 0.399
0.399 0.399 0.802
0.399 0.802 0.399
0.802 0.399 0.399
0.000 0.000 0.000
0.105 0.632 0.632
0.144 0.144 0.144
0.144 0.144 0.568
0.144 0.568 0.144
0.568 0.144 0.144
0.632 0.105 0.632
0.632 0.632 0.105
0.632 0.632 0.632

CsSmCdF6, relaxed, DFT GGA-PBE; total magnetization = 0.0 μB per cell; SG = Imma, No. 74; formation energy from raw total energies = -3.1454 eV/atom; energy = -5.114 eV/atom
1.0
-4.086 4.266 5.969
4.086 -4.266 5.969
4.086 4.266 -5.969
Cs Sm Cd F
2 2 2 12
Direct
0.313 0.063 0.250
0.687 0.937 0.750
0.000 0.500 0.500
0.500 0.500 0.000
0.000 0.000 0.500
0.000 0.500 0.000
0.055 0.412 0.234
0.055 0.822 0.643
0.069 0.819 0.250
0.317 0.567 0.750
0.321 0.178 0.734
0.321 0.588 0.143
0.679 0.412 0.857
0.679 0.822 0.266
0.683 0.433 0.250
0.931 0.181 0.750
0.945 0.178 0.357
0.945 0.588 0.766

TiCoNiRh, relaxed, DFT GGA-PBE; total magnetization = 1.7 μB per cell; formation energy = -0.28 eV/atom; SG = F-43m, No. 216; relative energy among the computed polymorphs = 181 meV/atom; energy = -7.309 eV/atom
1.0
0.000 2.960 2.960
2.960 0.000 2.960
2.960 2.960 0.000
Ti Co Ni Rh
1 1 1 1
Direct
0.000 0.000 0.000
0.250 0.250 0.250
0.500 0.500 0.500
0.750 0.750 0.750

Pm12PrAl4N3, relaxed, DFT GGA-PBE; total magnetization = 0.0 μB per cell; SG = Im-3m, No. 229; formation energy from raw total energies = -0.3509 eV/atom; energy = -5.438 eV/atom
1.0
-5.062 5.062 5.062
5.062 -5.062 5.062
5.062 5.062 -5.062
Pm Pr Al N
12 1 4 3
Direct
0.000 0.275 0.275
0.000 0.725 0.725
0.250 0.500 0.750
0.250 0.750 0.500
0.275 0.000 0.275
0.275 0.275 0.000
0.500 0.250 0.750
0.500 0.750 0.250
0.725 0.000 0.725
0.725 0.725 0.000
0.750 0.250 0.500
0.750 0.500 0.250
0.000 0.000 0.000
0.000 0.000 0.500
0.000 0.500 0.000
0.500 0.000 0.000
0.500 0.500 0.500
0.000 0.500 0.500
0.500 0.000 0.500
0.500 0.500 0.000

CrP2RhCl, relaxed, DFT GGA-PBE; total magnetization = 0.0 μB per cell; SG = P4/mmm, No. 123; relative energy among the computed polymorphs = 386 meV/atom; formation energy from raw total energies = 1.0359 eV/atom; energy = -4.892 eV/atom
1.0
4.554 0.000 0.000
0.000 4.554 0.000
0.000 0.000 4.785
Cr P Rh Cl
1 2 1 1
Direct
0.000 0.000 0.000
0.000 0.500 0.500
0.500 0.000 0.500
0.500 0.500 0.500
0.500 0.500 0.000

Pr2Sm, relaxed, DFT GGA-PBE; total magnetization = 0.0 μB per cell; formation energy = 0.12 eV/atom; SG = I4_1/amd, No. 141; relative energy among the computed polymorphs = 106 meV/atom; energy = -4.637 eV/atom
1.0
-1.785 1.785 16.902
1.785 -1.785 16.902
1.785 1.785 -16.902
Pr Sm
4 2
Direct
0.297 0.547 0.750
0.453 0.703 0.750
0.547 0.297 0.250
0.703 0.453 0.250
0.125 0.875 0.250
0.875 0.125 0.750

In2CuSe, relaxed, DFT GGA-PBE; total magnetization = 0.0 μB per cell; SG = Immm, No. 71; formation energy from raw total energies = 0.0753 eV/atom; energy = -3.189 eV/atom
1.0
-1.924 3.109 4.030
1.924 -3.109 4.030
1.924 3.109 -4.030
In Cu Se
2 1 1
Direct
0.234 0.234 0.000
0.766 0.766 0.000
0.000 0.500 0.500
0.500 0.000 0.500

Pm3Si2Rh, relaxed, DFT GGA-PBE; total magnetization = 0.0 μB per cell; SG = R-3c, No. 167; relative energy among the computed polymorphs = 172 meV/atom; formation energy from raw total energies = -0.6081 eV/atom; energy = -6.016 eV/atom
1.0
3.953 2.282 5.786
-3.953 2.282 5.786
0.000 -4.565 5.786
Pm Si Rh
6 4 2
Direct
0.062 0.750 0.438
0.250 0.562 0.938
0.438 0.062 0.750
0.562 0.938 0.250
0.750 0.438 0.062
0.938 0.250 0.562
0.147 0.147 0.147
0.353 0.353 0.353
0.647 0.647 0.647
0.853 0.853 0.853
0.000 0.000 0.000
0.500 0.500 0.500

Ca3TbTm2Se6, relaxed, DFT GGA-PBE; total magnetization = 0.0 μB per cell; SG = C2/m, No. 12; formation energy from raw total energies = -1.8518 eV/atom; energy = -5.226 eV/atom
1.0
3.545 -6.133 0.000
3.545 6.133 0.000
-2.368 0.000 6.797
Ca Tb Tm Se
3 1 2 6
Direct
0.000 0.000 0.000
0.335 0.665 0.000
0.665 0.335 0.000
0.500 0.500 0.500
0.167 0.833 0.500
0.833 0.167 0.500
0.081 0.419 0.257
0.243 0.243 0.742
0.419 0.081 0.257
0.581 0.919 0.743
0.757 0.757 0.258
0.919 0.581 0.743

Na3ClF6, relaxed, DFT GGA-PBE; total magnetization = 4.0 μB per cell; SG = Cmc2_1, No. 36; formation energy from raw total energies = -1.7466 eV/atom; energy = -3.450 eV/atom
1.0
4.638 -5.971 0.000
4.638 5.971 0.000
0.000 0.000 5.764
Na Cl F
6 2 12
Direct
0.083 0.917 0.500
0.130 0.372 0.555
0.372 0.130 0.055
0.628 0.870 0.555
0.870 0.628 0.055
0.917 0.083 0.000
0.348 0.652 0.170
0.652 0.348 0.670
0.072 0.615 0.350
0.146 0.184 0.267
0.184 0.146 0.767
0.268 0.732 0.915
0.385 0.928 0.350
0.428 0.572 0.435
0.572 0.428 0.935
0.615 0.072 0.850
0.732 0.268 0.415
0.816 0.854 0.267
0.854 0.816 0.767
0.928 0.385 0.850

Pm3RuPb, relaxed, DFT GGA-PBE; total magnetization = 0.9 μB per cell; formation energy = -0.19 eV/atom; SG = Pm-3m, No. 221; relative energy among the computed polymorphs = 170 meV/atom; energy = -5.634 eV/atom
1.0
7.393 0.000 0.000
0.000 7.393 0.000
0.000 0.000 7.393
Pm Ru Pb
9 3 3
Direct
0.000 0.000 0.000
0.272 0.272 0.272
0.272 0.272 0.728
0.272 0.728 0.272
0.272 0.728 0.728
0.728 0.272 0.272
0.728 0.272 0.728
0.728 0.728 0.272
0.728 0.728 0.728
0.000 0.500 0.500
0.500 0.000 0.500
0.500 0.500 0.000
0.000 0.000 0.500
0.000 0.500 0.000
0.500 0.000 0.000

FeOsRu2, relaxed, DFT GGA-PBE; total magnetization = 2.7 μB per cell; formation energy = 0.31 eV/atom; SG = Imm2, No. 44; energy = -9.254 eV/atom
1.0
-1.410 2.165 4.516
1.410 -2.165 4.516
1.410 2.165 -4.516
Fe Os Ru
1 1 2
Direct
0.000 0.000 0.000
0.223 0.723 0.500
0.496 0.496 0.000
0.777 0.277 0.500

Cs2Te2H, relaxed, DFT GGA-PBE; total magnetization = 0.0 μB per cell; SG = I4/mmm, No. 139; relative energy among the computed polymorphs = 134 meV/atom; energy = -2.724 eV/atom
1.0
-3.825 3.825 3.716
3.825 -3.825 3.716
3.825 3.825 -3.716
Cs Te H
2 2 1
Direct
0.250 0.750 0.500
0.750 0.250 0.500
0.232 0.232 0.000
0.768 0.768 0.000
0.500 0.500 0.000

RbCd3Ag, relaxed, DFT GGA-PBE; total magnetization = 0.0 μB per cell; formation energy = 0.02 eV/atom; SG = Pm-3m, No. 221; relative energy among the computed polymorphs = 72 meV/atom; energy = -1.289 eV/atom
1.0
5.468 0.000 0.000
0.000 5.468 0.000
0.000 0.000 5.468
Rb Cd Ag
1 3 1
Direct
0.000 0.000 0.000
0.000 0.500 0.500
0.500 0.000 0.500
0.500 0.500 0.000
0.500 0.500 0.500

Values for V, Å³ per atom, ordered as above
14.94; 23.45; 15.65; 14.46; 33.82; 24.28; 26.88; 23.12; 12.97; 25.94; 19.85; 35.92; 24.10; 26.10; 24.63; 15.96; 26.93; 13.78; 43.50; 32.69